No. 1
Computed, not measured: an optimized crystal structure of IF7 at the PBE level of DFT.

Properties
Relative energy among the computed polymorphs = 0.000 eV per atom
Volume = 16.3 Å³ per atom
Uncorrected formation energy = -1317 meV/atom

Cell: 5.5387 5.5387 9.0836 Å, 90.00 90.00 111.03°
Sites, in units of the cell vectors:
1 F 0.6174 0.3782 0.3357
2 F 0.8318 0.6637 0.5904
3 F 0.3782 0.6174 0.6643
4 F 0.6991 0.6991 0.0000
5 F 0.0793 0.7437 0.8925
6 F 0.6637 0.8318 0.4096
7 I 0.5023 0.5023 0.5000
8 F 0.7437 0.0793 0.1075
9 F 0.2437 0.5793 0.3925
10 F 0.5793 0.2437 0.6075
11 F 0.8782 0.1174 0.8357
12 I 0.0023 0.0023 0.0000
13 F 0.3318 0.1637 0.9096
14 F 0.1991 0.1991 0.5000
15 F 0.1174 0.8782 0.1643
16 F 0.1637 0.3318 0.0904



No. 2
Computed, not measured: an optimized crystal structure of TbPmNp2P4 at the PBE level of DFT.

Properties
Formation energy = -1197 meV per atom
Volume = 22.8 Å³ per atom

Cell: 3.9965 6.9507 6.9649 Å, 109.33 90.00 90.00°
Site moments in Bohr magnetons follow the coordinates.
Sites, in units of the cell vectors:
1 P 0.5000 0.2503 0.2597  -0.03
2 Pm 0.5000 0.5000 0.0000  0.00
3 P 0.0000 0.2424 0.7377  0.03
4 Tb 0.0000 0.0000 0.0000  0.00
5 P 0.0000 0.7576 0.2623  0.03
6 Np 0.0000 0.5000 0.5000  3.52
7 P 0.5000 0.7497 0.7403  -0.03
8 Np 0.5000 0.0000 0.5000  -3.46



No. 3
Computed, not measured: an optimized crystal structure of U2Ni3Ge4 at the PBE level of DFT.

Properties
Formation energy = -357 meV per atom
Volume = 16.2 Å³ per atom

Cell: 5.6652 7.3500 7.5681 Å, 90.00 111.98 90.00°
Site moments in Bohr magnetons follow the coordinates.
Sites, in units of the cell vectors:
1 U 0.8923 0.4088 0.7847  1.90
2 Ge 0.6915 0.7500 0.8830  -0.02
3 Ge 0.3085 0.2500 0.1170  -0.02
4 Ni 0.4807 0.2500 0.4614  -0.01
5 Ge 0.8191 0.0231 0.6383  -0.01
6 Ge 0.8085 0.2500 0.1170  -0.02
7 Ni 0.0000 0.0000 0.0000  0.13
8 Ge 0.3191 0.4769 0.6383  -0.01
9 Ni 0.5193 0.7500 0.5386  -0.01
10 Ni 0.0193 0.7500 0.5386  -0.01
11 Ni 0.5000 0.5000 0.0000  0.13
12 U 0.6077 0.9088 0.2153  1.90
13 Ni 0.9807 0.2500 0.4614  -0.01
14 U 0.3923 0.0912 0.7847  1.90
15 Ge 0.1915 0.7500 0.8830  -0.02
16 Ge 0.6809 0.5231 0.3617  -0.01
17 U 0.1077 0.5912 0.2153  1.90
18 Ge 0.1809 0.9769 0.3617  -0.01



No. 4
Computed, not measured: an optimized crystal structure of PrEr3Pd12 at the PBE level of DFT.

Properties
Formation energy = -859 meV per atom
Volume = 17.7 Å³ per atom

Cell: 4.1315 4.1315 16.5575 Å, 90.00 90.00 90.00°
Sites, in units of the cell vectors:
1 Pd 0.0000 0.5000 0.1313
2 Pd 0.5000 0.0000 0.3768
3 Pd 0.5000 0.5000 0.0000
4 Pd 0.5000 0.5000 0.7466
5 Pd 0.0000 0.5000 0.8687
6 Pd 0.5000 0.0000 0.8687
7 Pd 0.0000 0.5000 0.6232
8 Pd 0.5000 0.5000 0.5000
9 Er 0.0000 0.0000 0.2545
10 Pr 0.0000 0.0000 0.0000
11 Pd 0.0000 0.5000 0.3768
12 Er 0.0000 0.0000 0.5000
13 Pd 0.5000 0.5000 0.2534
14 Pd 0.5000 0.0000 0.1313
15 Er 0.0000 0.0000 0.7455
16 Pd 0.5000 0.0000 0.6232



No. 5
Computed, not measured: an optimized crystal structure of Be2IrPb at the PBE level of DFT.

Properties
Formation energy = 357 meV per atom
Volume = 14.3 Å³ per atom

Cell: 4.6212 4.6212 4.6212 Å, 129.63 129.55 74.06°
Sites, in units of the cell vectors:
1 Be 0.9998 0.9998 0.0000
2 Be 0.5002 0.5002 0.0000
3 Ir 0.7500 0.2500 0.5000
4 Pb 0.2500 0.7500 0.5000



No. 6
Computed, not measured: an optimized crystal structure of YCu2Ni at the PBE level of DFT.

Properties
Formation energy = -29 meV per atom
Relative energy among the computed polymorphs = 0.231 eV per atom
Volume = 16.0 Å³ per atom

Cell: 3.8304 3.8306 4.3707 Å, 90.00 90.00 90.00°
Sites, in units of the cell vectors:
1 Y 0.0000 0.5000 0.5000
2 Cu 0.0000 0.0000 0.0000
3 Ni 0.5000 0.0000 0.5000
4 Cu 0.5000 0.5000 0.0000



No. 7
Computed, not measured: an optimized crystal structure of KAcHgPb at the PBE level of DFT.

Properties
Formation energy = -352 meV per atom
Volume = 34.7 Å³ per atom

Cell: 5.8126 5.8126 5.8126 Å, 60.00 60.00 60.00°
Sites, in units of the cell vectors:
1 K 0.5000 0.5000 0.5000
2 Pb 0.2500 0.2500 0.2500
3 Ac 0.0000 0.0000 0.0000
4 Hg 0.7500 0.7500 0.7500



No. 8
Computed, not measured: an optimized crystal structure of MgTi3 at the PBE level of DFT.

Properties
Formation energy = 220 meV per atom
Volume = 18.3 Å³ per atom

Cell: 4.6977 4.6977 4.6977 Å, 60.00 60.00 60.00°
Site moments in Bohr magnetons follow the coordinates.
Sites, in units of the cell vectors:
1 Ti 0.2500 0.2500 0.2500  0.64
2 Ti 0.0000 0.0000 0.0000  1.22
3 Ti 0.7500 0.7500 0.7500  0.64
4 Mg 0.5000 0.5000 0.5000  -0.01



No. 9
Computed, not measured: an optimized crystal structure of BeTe2As at the PBE level of DFT.

Properties
Relative energy among the computed polymorphs = 0.591 eV per atom
Volume = 21.6 Å³ per atom
Uncorrected formation energy = 635 meV/atom

Cell: 4.9611 4.9611 4.9611 Å, 60.00 60.00 60.00°
Sites, in units of the cell vectors:
1 Te 0.7500 0.7500 0.7500
2 Te 0.2500 0.2500 0.2500
3 As 0.5000 0.5000 0.5000
4 Be 0.0000 0.0000 0.0000



No. 10
Computed, not measured: an optimized crystal structure of YEr2In2Hg2 at the PBE level of DFT.

Properties
Formation energy = -260 meV per atom
Volume = 26.4 Å³ per atom

Cell: 4.9313 4.9313 9.2311 Å, 74.51 74.51 60.00°
Sites, in units of the cell vectors:
1 Y 0.0000 0.0000 0.0000
2 In 0.7315 0.7315 0.8054
3 Hg 0.5704 0.5704 0.2889
4 Er 0.1318 0.1318 0.6047
5 Er 0.8682 0.8682 0.3953
6 Hg 0.4296 0.4296 0.7111
7 In 0.2685 0.2685 0.1946



No. 11
Computed, not measured: an optimized crystal structure of LaCoSb2I at the PBE level of DFT.

Properties
Volume = 27.2 Å³ per atom
Uncorrected formation energy = -233 meV/atom

Cell: 4.9736 4.9736 5.5008 Å, 90.00 90.00 90.00°
Site moments in Bohr magnetons follow the coordinates.
Sites, in units of the cell vectors:
1 La 0.5000 0.5000 0.5000  0.05
2 Sb 0.0000 0.5000 0.0000  0.03
3 Co 0.0000 0.0000 0.0000  0.66
4 I 0.0000 0.0000 0.5000  0.02
5 Sb 0.5000 0.0000 0.0000  0.03



No. 12
Computed, not measured: an optimized crystal structure of Np4Si8Ni at the PBE level of DFT.

Properties
Volume = 18.5 Å³ per atom
Uncorrected formation energy = -194 meV/atom

Cell: 3.8335 3.8757 16.1909 Å, 90.00 90.00 90.00°
Site moments in Bohr magnetons follow the coordinates.
Sites, in units of the cell vectors:
1 Np 0.0000 0.5000 0.6083  -3.47
2 Ni 0.0000 0.0000 0.3162  0.04
3 Si 0.5000 0.5000 0.7503  0.00
4 Si 0.0000 0.5000 0.9537  -0.03
5 Si 0.5000 0.0000 0.2402  0.01
6 Si 0.0000 0.0000 0.4605  -0.01
7 Np 0.0000 0.0000 0.1055  -3.38
8 Si 0.0000 0.0000 0.7500  0.00
9 Si 0.5000 0.5000 0.0416  0.03
10 Si 0.0000 0.5000 0.2408  0.02
11 Np 0.5000 0.5000 0.3973  3.53
12 Np 0.5000 0.0000 0.8918  3.48
13 Si 0.5000 0.0000 0.5467  0.02



No. 13
Computed, not measured: an optimized crystal structure of Cd3Ga at the PBE level of DFT.

Properties
Formation energy = 39 meV per atom
Volume = 22.1 Å³ per atom

Cell: 3.2098 5.7522 5.8190 Å, 119.62 106.01 90.00°
Sites, in units of the cell vectors:
1 Ga 0.0000 0.0035 0.0000
2 Cd 0.2575 0.5966 0.5149
3 Cd 0.7425 0.0817 0.4851
4 Cd 0.5000 0.4849 0.0000



No. 14
Computed, not measured: an optimized crystal structure of LiCa2Pt at the PBE level of DFT.

Properties
Formation energy = -463 meV per atom
Volume = 25.4 Å³ per atom

Cell: 6.3828 6.3828 5.0038 Å, 66.80 66.80 33.07°
Sites, in units of the cell vectors:
1 Li 0.4309 0.4309 0.5690
2 Pt 0.7614 0.7614 0.7385
3 Ca 0.0522 0.0522 0.9481
4 Ca 0.2555 0.2555 0.2444



No. 15
Computed, not measured: an optimized crystal structure of Sr3AgW at the PBE level of DFT.

Properties
Formation energy = 1066 meV per atom
Relative energy among the computed polymorphs = 0.052 eV per atom
Volume = 42.2 Å³ per atom

Cell: 5.9525 5.9525 5.9525 Å, 90.00 90.00 90.00°
Site moments in Bohr magnetons follow the coordinates.
Sites, in units of the cell vectors:
1 Sr 0.0000 0.0000 0.5000  0.00
2 Sr 0.0000 0.5000 0.0000  -0.01
3 Sr 0.5000 0.0000 0.0000  -0.01
4 W 0.5000 0.5000 0.5000  3.17
5 Ag 0.0000 0.0000 0.0000  -0.01



No. 16
Computed, not measured: an optimized crystal structure of CaPtPb2 at the PBE level of DFT.

Properties
Formation energy = -298 meV per atom
Volume = 24.0 Å³ per atom

Cell: 5.1419 5.1419 5.1419 Å, 60.00 60.00 60.00°
Sites, in units of the cell vectors:
1 Pb 0.2500 0.2500 0.2500
2 Pt 0.5000 0.5000 0.5000
3 Pb 0.7500 0.7500 0.7500
4 Ca 0.0000 0.0000 0.0000



No. 17
Computed, not measured: an optimized crystal structure of K2LiBr2 at the PBE level of DFT.

Properties
Volume = 35.7 Å³ per atom
Uncorrected formation energy = -1053 meV/atom

Cell: 9.5002 9.5002 3.9530 Å, 90.00 90.00 90.00°
Sites, in units of the cell vectors:
1 Br 0.1537 0.6537 0.5000
2 K 0.3567 0.8567 0.0000
3 K 0.1433 0.3567 0.0000
4 K 0.8567 0.6433 0.0000
5 Li 0.0000 0.0000 0.0000
6 Br 0.3463 0.1537 0.5000
7 K 0.6433 0.1433 0.0000
8 Br 0.8463 0.3463 0.5000
9 Li 0.5000 0.5000 0.0000
10 Br 0.6537 0.8463 0.5000



No. 18
Computed, not measured: an optimized crystal structure of CeHo3In4 at the PBE level of DFT.

Properties
Formation energy = -419 meV per atom
Volume = 26.9 Å³ per atom

Cell: 5.4942 7.2654 10.7849 Å, 90.00 90.00 90.00°
Site moments in Bohr magnetons follow the coordinates.
Sites, in units of the cell vectors:
1 Ho 0.0000 0.0000 0.5000  0.03
2 In 0.5000 0.7593 0.0000  0.00
3 In 0.5000 0.2407 0.0000  0.00
4 In 0.5000 0.2407 0.5000  0.00
5 In 0.0786 0.7585 0.7500  0.00
6 Ho 0.5740 0.0000 0.7500  -0.02
7 Ho 0.4260 0.0000 0.2500  -0.02
8 In 0.0786 0.2415 0.7500  0.00
9 Ce 0.0000 0.5000 0.5000  0.82
10 In 0.9214 0.2415 0.2500  0.00
11 Ho 0.4327 0.5000 0.2500  0.04
12 Ce 0.0000 0.5000 0.0000  0.82
13 Ho 0.5673 0.5000 0.7500  0.04
14 Ho 0.0000 0.0000 0.0000  0.03
15 In 0.5000 0.7593 0.5000  0.00
16 In 0.9214 0.7585 0.2500  0.00



No. 19
Computed, not measured: an optimized crystal structure of GaPb3W at the PBE level of DFT.

Properties
Formation energy = 1452 meV per atom
Relative energy among the computed polymorphs = 0.762 eV per atom
Volume = 31.3 Å³ per atom

Cell: 5.3876 5.3876 5.3876 Å, 90.00 90.00 90.00°
Site moments in Bohr magnetons follow the coordinates.
Sites, in units of the cell vectors:
1 Pb 0.5000 0.0000 0.0000  -0.04
2 Pb 0.0000 0.5000 0.0000  -0.03
3 W 0.5000 0.5000 0.5000  3.08
4 Pb 0.0000 0.0000 0.5000  -0.02
5 Ga 0.0000 0.0000 0.0000  0.03



No. 20
Computed, not measured: an optimized crystal structure of Tb3Se3I at the PBE level of DFT.

Properties
Volume = 28.1 Å³ per atom
Uncorrected formation energy = -1543 meV/atom

Cell: 8.9082 8.9082 7.7019 Å, 54.67 54.67 60.00°
Sites, in units of the cell vectors:
1 Se 0.0917 0.3790 0.7352
2 Se 0.6210 0.2060 0.2648
3 Tb 0.5641 0.9137 0.2432
4 Tb 0.4359 0.0863 0.7568
5 Tb 0.2791 0.5641 0.2432
6 Se 0.9083 0.6210 0.2648
7 Se 0.3790 0.7940 0.7352
8 I 0.3258 0.3258 0.0227
9 Se 0.7940 0.0917 0.7352
10 I 0.6742 0.6742 0.9773
11 Tb 0.0863 0.7209 0.7568
12 Se 0.2060 0.9083 0.2648
13 Tb 0.7209 0.4359 0.7568
14 Tb 0.9137 0.2791 0.2432